TmP2Ru4 | PBE | relaxed

## Properties
- VASP energy (eV per atom) = -8.174
- crystal system = tetragonal

a b c (Å): 3.7731 7.4620 7.4620
angles (deg): 90.00 90.00 90.00
With the nearest neighbours (Å) after each atom.
Sites, in units of the cell vectors:
Tm 0.5000 0.0000 0.0000  6 P 2.89-3.04, 8 Ru 3.17
Tm 0.0000 0.5000 0.5000  6 P 2.89-3.04, 8 Ru 3.17
P 0.0000 0.2261 0.7739  6 Ru 2.37-2.45
P 0.0000 0.7739 0.2261  6 Ru 2.37-2.45
P 0.5000 0.7261 0.7261  6 Ru 2.37-2.45
P 0.5000 0.2739 0.2739  6 Ru 2.37-2.45
Ru 0.0000 0.0727 0.3336  3 P 2.37-2.45
Ru 0.0000 0.9273 0.6664  3 P 2.37-2.45
Ru 0.5000 0.1664 0.5727  3 P 2.37-2.45
Ru 0.5000 0.8336 0.4273  3 P 2.37-2.45
Ru 0.5000 0.4273 0.8336  3 P 2.37-2.45
Ru 0.5000 0.5727 0.1664  3 P 2.37-2.45
Ru 0.0000 0.3336 0.0727  3 P 2.37-2.45
Ru 0.0000 0.6664 0.9273  3 P 2.37-2.45